1.
Here is a relaxed structure of Ta3Ir from Alexandria via LeMat-Bulk. Energies are from GGA-PBE.

Structure (CIF):
```
data_Ta3Ir
_chemical_formula_sum 'Ta12 Ir4'
_space_group_name_H-M_alt 'F m -3 m'
_space_group_IT_number 225
_space_group_name_Hall '-F 4 2 3'
_cell_length_a 6.4804
_cell_length_b 6.4804
_cell_length_c 6.4804
_cell_angle_alpha 90.00
_cell_angle_beta 90.00
_cell_angle_gamma 90.00
loop_
_atom_site_label
_atom_site_type_symbol
_atom_site_fract_x
_atom_site_fract_y
_atom_site_fract_z
_atom_site_occupancy
Ta1 Ta 0.0000 0.0000 0.0000 1
Ta2 Ta 0.2500 0.2500 0.2500 1
Ir1 Ir 0.0000 0.0000 0.5000 1
```

***

2.
Here is a relaxed structure of Ta3Ir from Alexandria via LeMat-Bulk. Energies are from GGA-PBE.

Structure (CIF):
```
data_Ta3Ir
_chemical_formula_sum 'Ta3 Ir1'
_space_group_name_H-M_alt 'P 4/m m m'
_space_group_IT_number 123
_space_group_name_Hall '-P 4 2'
_cell_length_a 4.5474
_cell_length_b 4.5474
_cell_length_c 3.3089
_cell_angle_alpha 90.00
_cell_angle_beta 90.00
_cell_angle_gamma 90.00
loop_
_atom_site_label
_atom_site_type_symbol
_atom_site_fract_x
_atom_site_fract_y
_atom_site_fract_z
_atom_site_occupancy
Ta1 Ta 0.0000 0.0000 0.0000 1
Ta2 Ta 0.0000 0.5000 0.5000 1
Ir1 Ir 0.5000 0.5000 0.0000 1
```

***

3.
Here is a relaxed structure of Ta14Ir from Alexandria via LeMat-Bulk. Energies are from GGA-PBE.

Structure (CIF):
```
data_Ta14Ir
_chemical_formula_sum 'Ta28 Ir2'
_space_group_name_H-M_alt 'P 42/m n m'
_space_group_IT_number 136
_space_group_name_Hall '-P 4n 2n'
_cell_length_a 10.1495
_cell_length_b 10.1495
_cell_length_c 5.3334
_cell_angle_alpha 90.00
_cell_angle_beta 90.00
_cell_angle_gamma 90.00
loop_
_atom_site_label
_atom_site_type_symbol
_atom_site_fract_x
_atom_site_fract_y
_atom_site_fract_z
_atom_site_occupancy
Ta1 Ta 0.0361 0.3697 0.0000 1
Ta2 Ta 0.0661 0.2573 0.5000 1
Ta3 Ta 0.1015 0.1015 0.0000 1
Ta4 Ta 0.1818 0.8182 0.2472 1
Ir1 Ir 0.0000 0.0000 0.5000 1
```

***

4.
Here is a relaxed structure of Ta3Ir2 from Alexandria via LeMat-Bulk. Energies are from GGA-PBE.

Structure (CIF):
```
data_Ta3Ir2
_chemical_formula_sum 'Ta18 Ir12'
_space_group_name_H-M_alt 'P 42/m n m'
_space_group_IT_number 136
_space_group_name_Hall '-P 4n 2n'
_cell_length_a 9.8984
_cell_length_b 9.8984
_cell_length_c 5.1288
_cell_angle_alpha 90.00
_cell_angle_beta 90.00
_cell_angle_gamma 90.00
loop_
_atom_site_label
_atom_site_type_symbol
_atom_site_fract_x
_atom_site_fract_y
_atom_site_fract_z
_atom_site_occupancy
Ta1 Ta 0.0000 0.0000 0.0000 1
Ta2 Ta 0.0399 0.3635 0.5000 1
Ta3 Ta 0.1806 0.8194 0.2515 1
Ir1 Ir 0.0718 0.2683 0.0000 1
Ir2 Ir 0.0980 0.0980 0.5000 1
```

Calculated values
ΔE to the lowest computed polymorph: 0 meV/atom

***

5.
Here is a relaxed structure of Ta4Ir from Alexandria via LeMat-Bulk. Energies are from GGA-PBE.

Structure (CIF):
```
data_Ta4Ir
_chemical_formula_sum 'Ta8 Ir2'
_space_group_name_H-M_alt 'I 4/m m m'
_space_group_IT_number 139
_space_group_name_Hall '-I 4 2'
_cell_length_a 3.6172
_cell_length_b 3.6172
_cell_length_c 14.6647
_cell_angle_alpha 90.00
_cell_angle_beta 90.00
_cell_angle_gamma 90.00
loop_
_atom_site_label
_atom_site_type_symbol
_atom_site_fract_x
_atom_site_fract_y
_atom_site_fract_z
_atom_site_occupancy
Ta1 Ta 0.0000 0.0000 0.0891 1
Ta2 Ta 0.0000 0.5000 0.2500 1
Ir1 Ir 0.0000 0.0000 0.5000 1
```

Calculated values
ΔE to the lowest computed polymorph: 1082 meV/atom

***

6.
Here is a relaxed structure of Ta4Ir from Alexandria via LeMat-Bulk. Energies are from GGA-PBE.

Structure (CIF):
```
data_Ta4Ir
_chemical_formula_sum 'Ta8 Ir2'
_space_group_name_H-M_alt 'I 4/m'
_space_group_IT_number 87
_space_group_name_Hall '-I 4'
_cell_length_a 7.2103
_cell_length_b 7.2103
_cell_length_c 3.3403
_cell_angle_alpha 90.00
_cell_angle_beta 90.00
_cell_angle_gamma 90.00
loop_
_atom_site_label
_atom_site_type_symbol
_atom_site_fract_x
_atom_site_fract_y
_atom_site_fract_z
_atom_site_occupancy
Ta1 Ta 0.0991 0.7019 0.0000 1
Ir1 Ir 0.0000 0.0000 0.5000 1
```

Calculated values
ΔE to the lowest computed polymorph: 0 meV/atom

***

7.
Here is a relaxed structure of Ta2Ir3 from Alexandria via LeMat-Bulk. Energies are from GGA-PBE.

Structure (CIF):
```
data_Ta2Ir3
_chemical_formula_sum 'Ta4 Ir6'
_space_group_name_H-M_alt 'C 1 2/m 1'
_space_group_IT_number 12
_cell_length_a 8.9261
_cell_length_b 3.9374
_cell_length_c 6.2371
_cell_angle_alpha 90.00
_cell_angle_beta 133.54
_cell_angle_gamma 90.00
loop_
_space_group_symop_operation_xyz
'x,y,z'
'-x,-y,-z'
'-x,y,-z'
'x,-y,z'
'x+1/2,y+1/2,z'
'-x+1/2,-y+1/2,-z'
'-x+1/2,y+1/2,-z'
'x+1/2,-y+1/2,z'
loop_
_atom_site_label
_atom_site_type_symbol
_atom_site_fract_x
_atom_site_fract_y
_atom_site_fract_z
_atom_site_occupancy
Ta1 Ta 0.0808 0.0000 0.2919 1
Ir1 Ir 0.0000 0.5000 0.5000 1
Ir2 Ir 0.1971 0.5000 0.1040 1
```

Calculated values
ΔE to the lowest computed polymorph: 3 meV/atom

***

8.
Here is a relaxed structure of Ta8Ir from Alexandria via LeMat-Bulk. Energies are from GGA-PBE.

Structure (CIF):
```
data_Ta8Ir
_chemical_formula_sum 'Ta16 Ir2'
_space_group_name_H-M_alt 'I 4/m m m'
_space_group_IT_number 139
_space_group_name_Hall '-I 4 2'
_cell_length_a 9.7714
_cell_length_b 9.7714
_cell_length_c 3.3362
_cell_angle_alpha 90.00
_cell_angle_beta 90.00
_cell_angle_gamma 90.00
loop_
_atom_site_label
_atom_site_type_symbol
_atom_site_fract_x
_atom_site_fract_y
_atom_site_fract_z
_atom_site_occupancy
Ta1 Ta 0.0000 0.3321 0.0000 1
Ta2 Ta 0.1646 0.1646 0.5000 1
Ir1 Ir 0.0000 0.0000 0.0000 1
```

***

9.
Here is a relaxed structure of TaIr5 from Alexandria via LeMat-Bulk. Energies are from GGA-PBE.

Structure (CIF):
```
data_TaIr5
_chemical_formula_sum 'Ta1 Ir5'
_space_group_name_H-M_alt 'P 4/m m m'
_space_group_IT_number 123
_space_group_name_Hall '-P 4 2'
_cell_length_a 2.7704
_cell_length_b 2.7704
_cell_length_c 11.7480
_cell_angle_alpha 90.00
_cell_angle_beta 90.00
_cell_angle_gamma 90.00
loop_
_atom_site_label
_atom_site_type_symbol
_atom_site_fract_x
_atom_site_fract_y
_atom_site_fract_z
_atom_site_occupancy
Ta1 Ta 0.0000 0.0000 0.0000 1
Ir1 Ir 0.0000 0.0000 0.3381 1
Ir2 Ir 0.5000 0.5000 0.1720 1
Ir3 Ir 0.5000 0.5000 0.5000 1
```

***

10.
Here is a relaxed structure of TaIr from Alexandria via LeMat-Bulk. Energies are from GGA-PBE.

Structure (CIF):
```
data_TaIr
_chemical_formula_sum 'Ta12 Ir12'
_space_group_name_H-M_alt 'P b c m'
_space_group_IT_number 57
_cell_length_a 9.6527
_cell_length_b 7.6739
_cell_length_c 5.3819
_cell_angle_alpha 90.00
_cell_angle_beta 90.00
_cell_angle_gamma 90.00
loop_
_space_group_symop_operation_xyz
'x,y,z'
'-x,-y,-z'
'-x,-y,z+1/2'
'x,y,-z+1/2'
'x,-y+1/2,-z'
'-x,y+1/2,z'
'-x,y+1/2,-z+1/2'
'x,-y+1/2,z+1/2'
loop_
_atom_site_label
_atom_site_type_symbol
_atom_site_fract_x
_atom_site_fract_y
_atom_site_fract_z
_atom_site_occupancy
Ta1 Ta 0.1320 0.0478 0.2500 1
Ta2 Ta 0.3264 0.6473 0.2500 1
Ta3 Ta 0.3663 0.2500 0.0000 1
Ir1 Ir 0.0842 0.7500 0.0000 1
Ir2 Ir 0.1335 0.0895 0.7500 1
Ir3 Ir 0.4441 0.5429 0.7500 1
```

***

11.
Here is a relaxed structure of TaIr from Alexandria via LeMat-Bulk. Energies are from GGA-PBE.

Structure (CIF):
```
data_TaIr
_chemical_formula_sum 'Ta2 Ir2'
_space_group_name_H-M_alt 'P -3 m 1'
_space_group_IT_number 164
_space_group_name_Hall '-P 3 2"'
_cell_length_a 2.8467
_cell_length_b 2.8467
_cell_length_c 9.3375
_cell_angle_alpha 90.00
_cell_angle_beta 90.00
_cell_angle_gamma 120.00
loop_
_atom_site_label
_atom_site_type_symbol
_atom_site_fract_x
_atom_site_fract_y
_atom_site_fract_z
_atom_site_occupancy
Ta1 Ta 0.3333 0.6667 0.3613 1
Ir1 Ir 0.3333 0.6667 0.8743 1
```

***

12.
Here is a relaxed structure of Ta3Ir from Alexandria via LeMat-Bulk. Energies are from GGA-PBE.

Structure (CIF):
```
data_Ta3Ir
_chemical_formula_sum 'Ta3 Ir1'
_space_group_name_H-M_alt 'P 1 2/m 1'
_space_group_IT_number 10
_cell_length_a 2.8578
_cell_length_b 4.5797
_cell_length_c 5.3176
_cell_angle_alpha 90.00
_cell_angle_beta 101.00
_cell_angle_gamma 90.00
loop_
_space_group_symop_operation_xyz
'x,y,z'
'-x,-y,-z'
'-x,y,-z'
'x,-y,z'
loop_
_atom_site_label
_atom_site_type_symbol
_atom_site_fract_x
_atom_site_fract_y
_atom_site_fract_z
_atom_site_occupancy
Ta1 Ta 0.0000 0.0000 0.0000 1
Ta2 Ta 0.2493 0.5000 0.7511 1
Ir1 Ir 0.5000 0.0000 0.5000 1
```

***

13.
Here is a relaxed structure of TaIr from Alexandria via LeMat-Bulk. Energies are from GGA-PBE.

Structure (CIF):
```
data_TaIr
_chemical_formula_sum 'Ta6 Ir6'
_space_group_name_H-M_alt 'R -3 m'
_space_group_IT_number 166
_space_group_name_Hall '-R 3 2"'
_cell_length_a 4.5194
_cell_length_b 4.5194
_cell_length_c 10.9977
_cell_angle_alpha 90.00
_cell_angle_beta 90.00
_cell_angle_gamma 120.00
loop_
_atom_site_label
_atom_site_type_symbol
_atom_site_fract_x
_atom_site_fract_y
_atom_site_fract_z
_atom_site_occupancy
Ta1 Ta 0.0000 0.0000 0.1253 1
Ir1 Ir 0.0000 0.0000 0.3731 1
```

***

14.
Here is a relaxed structure of Ta3Ir2 from Alexandria via LeMat-Bulk. Energies are from GGA-PBE.

Structure (CIF):
```
data_Ta3Ir2
_chemical_formula_sum 'Ta24 Ir16'
_space_group_name_H-M_alt 'F d d 2'
_space_group_IT_number 43
_space_group_name_Hall 'F 2 -2d'
_cell_length_a 9.7592
_cell_length_b 13.5090
_cell_length_c 5.1320
_cell_angle_alpha 90.00
_cell_angle_beta 90.00
_cell_angle_gamma 90.00
loop_
_atom_site_label
_atom_site_type_symbol
_atom_site_fract_x
_atom_site_fract_y
_atom_site_fract_z
_atom_site_occupancy
Ta1 Ta 0.0000 0.0000 0.0000 1
Ta2 Ta 0.0617 0.1049 0.4989 1
Ir1 Ir 0.0300 0.1985 0.9571 1
```

Calculated values
ΔE to the lowest computed polymorph: 124 meV/atom

***

15.
Here is a relaxed structure of Ta3Ir2 from Alexandria via LeMat-Bulk. Energies are from GGA-PBE.

Structure (CIF):
```
data_Ta3Ir2
_chemical_formula_sum 'Ta3 Ir2'
_space_group_name_H-M_alt 'P -3 m 1'
_space_group_IT_number 164
_space_group_name_Hall '-P 3 2"'
_cell_length_a 4.4186
_cell_length_b 4.4186
_cell_length_c 5.4554
_cell_angle_alpha 90.00
_cell_angle_beta 90.00
_cell_angle_gamma 120.00
loop_
_atom_site_label
_atom_site_type_symbol
_atom_site_fract_x
_atom_site_fract_y
_atom_site_fract_z
_atom_site_occupancy
Ta1 Ta 0.0000 0.0000 0.0000 1
Ta2 Ta 0.3333 0.6667 0.3597 1
Ir1 Ir 0.3333 0.6667 0.8424 1
```

Calculated values
ΔE to the lowest computed polymorph: 327 meV/atom

***

16.
Here is a relaxed structure of Ta3Ir from Alexandria via LeMat-Bulk. Energies are from GGA-PBE.

Structure (CIF):
```
data_Ta3Ir
_chemical_formula_sum 'Ta9 Ir3'
_space_group_name_H-M_alt 'R -3 m'
_space_group_IT_number 166
_space_group_name_Hall '-R 3 2"'
_cell_length_a 9.1044
_cell_length_b 9.1044
_cell_length_c 2.8507
_cell_angle_alpha 90.00
_cell_angle_beta 90.00
_cell_angle_gamma 120.00
loop_
_atom_site_label
_atom_site_type_symbol
_atom_site_fract_x
_atom_site_fract_y
_atom_site_fract_z
_atom_site_occupancy
Ta1 Ta 0.0000 0.5000 0.0000 1
Ir1 Ir 0.0000 0.0000 0.0000 1
```

***

17.
Here is a relaxed structure of Ta3Ir from Alexandria via LeMat-Bulk. Energies are from GGA-PBE.

Structure (CIF):
```
data_Ta3Ir
_chemical_formula_sum 'Ta6 Ir2'
_space_group_name_H-M_alt 'I 4/m m m'
_space_group_IT_number 139
_space_group_name_Hall '-I 4 2'
_cell_length_a 3.9188
_cell_length_b 3.9188
_cell_length_c 9.0683
_cell_angle_alpha 90.00
_cell_angle_beta 90.00
_cell_angle_gamma 90.00
loop_
_atom_site_label
_atom_site_type_symbol
_atom_site_fract_x
_atom_site_fract_y
_atom_site_fract_z
_atom_site_occupancy
Ta1 Ta 0.0000 0.0000 0.0000 1
Ta2 Ta 0.0000 0.5000 0.2500 1
Ir1 Ir 0.0000 0.0000 0.5000 1
```

***

18.
Here is a relaxed structure of TaIr from Alexandria via LeMat-Bulk. Energies are from GGA-PBE.

Structure (CIF):
```
data_TaIr
_chemical_formula_sum 'Ta4 Ir4'
_space_group_name_H-M_alt 'C 1 2/m 1'
_space_group_IT_number 12
_cell_length_a 9.4808
_cell_length_b 2.8669
_cell_length_c 4.8761
_cell_angle_alpha 90.00
_cell_angle_beta 98.96
_cell_angle_gamma 90.00
loop_
_space_group_symop_operation_xyz
'x,y,z'
'-x,-y,-z'
'-x,y,-z'
'x,-y,z'
'x+1/2,y+1/2,z'
'-x+1/2,-y+1/2,-z'
'-x+1/2,y+1/2,-z'
'x+1/2,-y+1/2,z'
loop_
_atom_site_label
_atom_site_type_symbol
_atom_site_fract_x
_atom_site_fract_y
_atom_site_fract_z
_atom_site_occupancy
Ta1 Ta 0.1141 0.0000 0.3351 1
Ir1 Ir 0.1320 0.5000 0.8431 1
```

***

19.
Here is a relaxed structure of Ta5Ir3 from Alexandria via LeMat-Bulk. Energies are from GGA-PBE.

Structure (CIF):
```
data_Ta5Ir3
_chemical_formula_sum 'Ta20 Ir12'
_space_group_name_H-M_alt 'C 1 2/c 1'
_space_group_IT_number 15
_cell_length_a 11.2480
_cell_length_b 10.2865
_cell_length_c 5.2169
_cell_angle_alpha 90.00
_cell_angle_beta 114.46
_cell_angle_gamma 90.00
loop_
_space_group_symop_operation_xyz
'x,y,z'
'-x,-y,-z'
'-x,y,-z+1/2'
'x,-y,z+1/2'
'x+1/2,y+1/2,z'
'-x+1/2,-y+1/2,-z'
'-x+1/2,y+1/2,-z+1/2'
'x+1/2,-y+1/2,z+1/2'
loop_
_atom_site_label
_atom_site_type_symbol
_atom_site_fract_x
_atom_site_fract_y
_atom_site_fract_z
_atom_site_occupancy
Ta1 Ta 0.0000 0.0069 0.2500 1
Ta2 Ta 0.0737 0.2791 0.5657 1
Ta3 Ta 0.2215 0.4253 0.2289 1
Ir1 Ir 0.0000 0.4939 0.7500 1
Ir2 Ir 0.1721 0.1697 0.1433 1
```

Calculated values
ΔE to the lowest computed polymorph: 0 meV/atom

***

20.
Here is a relaxed structure of TaIr from Alexandria via LeMat-Bulk. Energies are from GGA-PBE.

Structure (CIF):
```
data_TaIr
_chemical_formula_sum 'Ta2 Ir2'
_space_group_name_H-M_alt 'P m m n'
_space_group_IT_number 59
_cell_length_a 2.8194
_cell_length_b 4.6694
_cell_length_c 4.9954
_cell_angle_alpha 90.00
_cell_angle_beta 90.00
_cell_angle_gamma 90.00
loop_
_space_group_symop_operation_xyz
'x,y,z'
'-x,-y,-z'
'-x+1/2,-y+1/2,z'
'x+1/2,y+1/2,-z'
'x+1/2,-y,-z'
'-x+1/2,y,z'
'-x,y+1/2,-z'
'x,-y+1/2,z'
loop_
_atom_site_label
_atom_site_type_symbol
_atom_site_fract_x
_atom_site_fract_y
_atom_site_fract_z
_atom_site_occupancy
Ta1 Ta 0.2500 0.2500 0.1272 1
Ir1 Ir 0.2500 0.7500 0.3848 1
```

***

Number 1: DFT formation energy -0.318 eV per atom. Number 2: DFT formation energy -0.334 eV per atom. Number 3: DFT formation energy -0.119 eV per atom. Number 4: DFT formation energy -0.470 eV per atom. Number 5: DFT formation energy 0.778 eV per atom. Number 6: DFT formation energy -0.304 eV per atom. Number 7: DFT formation energy -0.536 eV per atom. Number 8: DFT formation energy -0.197 eV per atom. Number 9: DFT formation energy -0.183 eV per atom. Number 10: DFT formation energy -0.514 eV per atom. Number 11: DFT formation energy -0.159 eV per atom. Number 12: DFT formation energy -0.278 eV per atom. Number 13: DFT formation energy -0.244 eV per atom. Number 14: DFT formation energy -0.346 eV per atom. Number 15: DFT formation energy -0.143 eV per atom. Number 16: DFT formation energy -0.308 eV per atom. Number 17: DFT formation energy -0.210 eV per atom. Number 18: DFT formation energy -0.496 eV per atom. Number 19: DFT formation energy -0.427 eV per atom. Number 20: DFT formation energy -0.294 eV per atom.